## HfSi2Pd (PBE)

Data for an optimized crystal structure of HfSi2Pd.

```
data_HfSi2Pd
_chemical_formula_sum 'Hf1 Si2 Pd1'
_cell_length_a 4.486
_cell_length_b 4.486
_cell_length_c 4.486
_cell_angle_alpha 60.00
_cell_angle_beta 60.00
_cell_angle_gamma 60.00
_symmetry_space_group_name_H-M 'P 1'
_symmetry_Int_Tables_number 1
_symmetry_space_group_name_Hall 'P 1'
loop_
_atom_site_label
_atom_site_fract_x
_atom_site_fract_y
_atom_site_fract_z
Si1 0.250 0.250 0.250
Si2 0.750 0.750 0.750
Hf1 0.500 0.500 0.500
Pd1 0.000 0.000 0.000
```

Summary:
**DFT total energy**: -26.963 eV/cell
**E_form (uncorrected)**: -0.243 eV per atom


## ZrZnO3 (PBE)

Data for an optimized crystal structure of ZrZnO3.

```
data_ZrZnO3
_chemical_formula_sum 'Zr1 Zn1 O3'
_cell_length_a 3.776
_cell_length_b 3.776
_cell_length_c 3.776
_cell_angle_alpha 90.00
_cell_angle_beta 90.00
_cell_angle_gamma 90.00
_symmetry_space_group_name_H-M 'P 1'
_symmetry_Int_Tables_number 1
_symmetry_space_group_name_Hall 'P 1'
loop_
_atom_site_label
_atom_site_fract_x
_atom_site_fract_y
_atom_site_fract_z
Zn1 0.000 0.000 0.000
O1 0.000 0.500 0.000
O2 0.000 0.000 0.500
O3 0.500 0.000 0.000
Zr1 0.500 0.500 0.500
```

Summary:
**DFT total energy**: -31.522 eV/cell
**E_form (uncorrected)**: -1.365 eV per atom


## SmTa2MoC4 (PBE)

Data for an optimized crystal structure of SmTa2MoC4.

```
data_SmTa2MoC4
_chemical_formula_sum 'Sm2 Ta4 Mo2 C8'
_cell_length_a 3.249
_cell_length_b 5.982
_cell_length_c 11.358
_cell_angle_alpha 90.00
_cell_angle_beta 90.00
_cell_angle_gamma 105.76
_symmetry_space_group_name_H-M 'P 1'
_symmetry_Int_Tables_number 1
_symmetry_space_group_name_Hall 'P 1'
loop_
_atom_site_label
_atom_site_fract_x
_atom_site_fract_y
_atom_site_fract_z
Sm1 0.106 0.212 0.750
Sm2 0.894 0.788 0.250
Ta1 0.372 0.744 0.535
Ta2 0.628 0.256 0.035
Ta3 0.628 0.256 0.465
Ta4 0.372 0.744 0.965
Mo1 0.839 0.679 0.750
Mo2 0.161 0.321 0.250
C1 0.263 0.526 0.110
C2 0.737 0.474 0.610
C3 0.737 0.474 0.890
C4 0.263 0.526 0.390
C5 0.000 0.000 0.500
C6 0.000 0.000 0.000
C7 0.444 0.887 0.750
C8 0.556 0.113 0.250
```

Summary:
**DFT total energy**: -155.959 eV/cell
**Formation energy**: -229 meV/atom


## HoCu2Si (PBE)

Data for an optimized crystal structure of HoCu2Si.

```
data_HoCu2Si
_chemical_formula_sum 'Ho1 Cu2 Si1'
_cell_length_a 4.055
_cell_length_b 4.055
_cell_length_c 5.265
_cell_angle_alpha 67.35
_cell_angle_beta 67.35
_cell_angle_gamma 60.00
_symmetry_space_group_name_H-M 'P 1'
_symmetry_Int_Tables_number 1
_symmetry_space_group_name_Hall 'P 1'
loop_
_atom_site_label
_atom_site_fract_x
_atom_site_fract_y
_atom_site_fract_z
Si1 0.000 0.000 0.000
Ho1 0.500 0.500 0.500
Cu1 0.293 0.293 0.120
Cu2 0.707 0.707 0.880
```

Summary:
**DFT total energy**: -19.689 eV/cell
**E_form (uncorrected)**: -0.374 eV per atom


## Nb2HOsRu (PBE)

Data for an optimized crystal structure of Nb2HOsRu.

```
data_Nb2HOsRu
_chemical_formula_sum 'Nb2 H1 Os1 Ru1'
_cell_length_a 4.262
_cell_length_b 4.262
_cell_length_c 3.683
_cell_angle_alpha 90.00
_cell_angle_beta 90.00
_cell_angle_gamma 90.00
_symmetry_space_group_name_H-M 'P 1'
_symmetry_Int_Tables_number 1
_symmetry_space_group_name_Hall 'P 1'
loop_
_atom_site_label
_atom_site_fract_x
_atom_site_fract_y
_atom_site_fract_z
Ru1 0.000 0.000 0.500
Nb1 0.000 0.500 0.000
Nb2 0.500 0.000 0.000
Os1 0.500 0.500 0.500
H1 0.000 0.000 0.000
```

Summary:
**DFT total energy**: -44.648 eV/cell


## NbPPdBr2 (PBE)

Data for an optimized crystal structure of NbPPdBr2.

```
data_NbPPdBr2
_chemical_formula_sum 'Nb1 P1 Pd1 Br2'
_cell_length_a 5.054
_cell_length_b 4.709
_cell_length_c 5.054
_cell_angle_alpha 90.00
_cell_angle_beta 90.00
_cell_angle_gamma 90.00
_symmetry_space_group_name_H-M 'P 1'
_symmetry_Int_Tables_number 1
_symmetry_space_group_name_Hall 'P 1'
loop_
_atom_site_label
_atom_site_fract_x
_atom_site_fract_y
_atom_site_fract_z
P1 0.000 0.500 0.000
Nb1 0.500 0.500 0.500
Br1 0.000 0.000 0.500
Br2 0.500 0.000 0.000
Pd1 0.000 0.000 0.000
```

Summary:
**DFT total energy**: -20.107 eV/cell
**E_form (uncorrected)**: 0.782 eV per atom


## Zn2ReP (PBE)

Data for an optimized crystal structure of Zn2ReP.

```
data_Zn2ReP
_chemical_formula_sum 'Zn2 Re1 P1'
_cell_length_a 5.045
_cell_length_b 5.045
_cell_length_c 5.045
_cell_angle_alpha 138.54
_cell_angle_beta 138.54
_cell_angle_gamma 60.07
_symmetry_space_group_name_H-M 'P 1'
_symmetry_Int_Tables_number 1
_symmetry_space_group_name_Hall 'P 1'
loop_
_atom_site_label
_atom_site_fract_x
_atom_site_fract_y
_atom_site_fract_z
Zn1 0.750 0.250 0.500
Zn2 0.250 0.750 0.500
Re1 0.000 0.000 0.000
P1 0.500 0.500 0.000
```

Summary:
**DFT total energy**: -19.399 eV/cell
**Formation energy**: 252 meV/atom


## Co4PtSe (PBE)

Data for an optimized crystal structure of Co4PtSe.

```
data_Co4PtSe
_chemical_formula_sum 'Co4 Pt1 Se1'
_cell_length_a 4.833
_cell_length_b 4.833
_cell_length_c 4.833
_cell_angle_alpha 60.00
_cell_angle_beta 60.00
_cell_angle_gamma 60.00
_symmetry_space_group_name_H-M 'P 1'
_symmetry_Int_Tables_number 1
_symmetry_space_group_name_Hall 'P 1'
loop_
_atom_site_label
_atom_site_fract_x
_atom_site_fract_y
_atom_site_fract_z
Co1 0.873 0.376 0.376
Co2 0.376 0.376 0.376
Co3 0.376 0.376 0.873
Co4 0.376 0.873 0.376
Pt1 0.750 0.750 0.750
Se1 0.000 0.000 0.000
```

Summary:
**DFT total energy**: -36.076 eV/cell
**E_form (uncorrected)**: 0.312 eV per atom


## LaHoZnSi (PBE)

Data for an optimized crystal structure of LaHoZnSi.

```
data_LaHoZnSi
_chemical_formula_sum 'La1 Ho1 Zn1 Si1'
_cell_length_a 5.107
_cell_length_b 5.107
_cell_length_c 5.107
_cell_angle_alpha 60.00
_cell_angle_beta 60.00
_cell_angle_gamma 60.00
_symmetry_space_group_name_H-M 'P 1'
_symmetry_Int_Tables_number 1
_symmetry_space_group_name_Hall 'P 1'
loop_
_atom_site_label
_atom_site_fract_x
_atom_site_fract_y
_atom_site_fract_z
Zn1 0.250 0.250 0.250
Si1 0.750 0.750 0.750
Ho1 0.000 0.000 0.000
La1 0.500 0.500 0.500
```

Summary:
**DFT total energy**: -18.009 eV/cell
**E_form (uncorrected)**: -0.452 eV per atom


## PmSm2OsO8 (PBE)

Data for an optimized crystal structure of PmSm2OsO8.

```
data_PmSm2OsO8
_chemical_formula_sum 'Pm1 Sm2 Os1 O8'
_cell_length_a 5.156
_cell_length_b 5.151
_cell_length_c 6.956
_cell_angle_alpha 90.00
_cell_angle_beta 90.00
_cell_angle_gamma 89.88
_symmetry_space_group_name_H-M 'P 1'
_symmetry_Int_Tables_number 1
_symmetry_space_group_name_Hall 'P 1'
loop_
_atom_site_label
_atom_site_fract_x
_atom_site_fract_y
_atom_site_fract_z
Pm1 0.000 0.000 0.500
Sm1 0.500 0.500 0.749
Sm2 0.500 0.500 0.251
Os1 0.000 0.000 0.000
O1 0.180 0.818 0.204
O2 0.743 0.744 0.000
O3 0.820 0.182 0.204
O4 0.820 0.182 0.796
O5 0.257 0.256 0.000
O6 0.180 0.818 0.796
O7 0.689 0.691 0.500
O8 0.311 0.309 0.500
```

Summary:
**DFT total energy**: -94.465 eV/cell
**E_form (uncorrected)**: -2.448 eV per atom


## Cu2SeBr (PBE)

Data for an optimized crystal structure of Cu2SeBr.

```
data_Cu2SeBr
_chemical_formula_sum 'Cu2 Se1 Br1'
_cell_length_a 3.585
_cell_length_b 7.635
_cell_length_c 3.426
_cell_angle_alpha 90.00
_cell_angle_beta 90.00
_cell_angle_gamma 90.00
_symmetry_space_group_name_H-M 'P 1'
_symmetry_Int_Tables_number 1
_symmetry_space_group_name_Hall 'P 1'
loop_
_atom_site_label
_atom_site_fract_x
_atom_site_fract_y
_atom_site_fract_z
Br1 0.000 0.500 0.500
Cu1 0.000 0.000 0.000
Cu2 0.500 0.500 0.000
Se1 0.500 0.000 0.500
```

Summary:
**DFT total energy**: -13.044 eV/cell
**E_form (uncorrected)**: 0.076 eV per atom


## NdEuCu (PBE)

Data for an optimized crystal structure of NdEuCu.

```
data_NdEuCu
_chemical_formula_sum 'Nd1 Eu1 Cu1'
_cell_length_a 5.048
_cell_length_b 5.048
_cell_length_c 5.048
_cell_angle_alpha 60.00
_cell_angle_beta 60.00
_cell_angle_gamma 60.00
_symmetry_space_group_name_H-M 'P 1'
_symmetry_Int_Tables_number 1
_symmetry_space_group_name_Hall 'P 1'
loop_
_atom_site_label
_atom_site_fract_x
_atom_site_fract_y
_atom_site_fract_z
Eu1 0.000 0.000 0.000
Nd1 0.500 0.500 0.500
Cu1 0.250 0.250 0.250
```

Summary:
**DFT total energy**: -18.814 eV/cell
**Formation energy**: 108 meV/atom


## TaMn2Fe (PBE)

Data for an optimized crystal structure of TaMn2Fe.

```
data_TaMn2Fe
_chemical_formula_sum 'Ta1 Mn2 Fe1'
_cell_length_a 8.493
_cell_length_b 8.493
_cell_length_c 8.493
_cell_angle_alpha 18.54
_cell_angle_beta 18.54
_cell_angle_gamma 18.54
_symmetry_space_group_name_H-M 'P 1'
_symmetry_Int_Tables_number 1
_symmetry_space_group_name_Hall 'P 1'
loop_
_atom_site_label
_atom_site_fract_x
_atom_site_fract_y
_atom_site_fract_z
Fe1 0.750 0.750 0.750
Mn1 0.009 0.009 0.009
Mn2 0.491 0.491 0.491
Ta1 0.250 0.250 0.250
```

Summary:
**DFT total energy**: -37.305 eV/cell
**Formation energy**: 337 meV/atom


## LiEr8Ga2 (PBE)

Data for an optimized crystal structure of LiEr8Ga2.

```
data_LiEr8Ga2
_chemical_formula_sum 'Li1 Er8 Ga2'
_cell_length_a 5.010
_cell_length_b 6.773
_cell_length_c 9.166
_cell_angle_alpha 102.56
_cell_angle_beta 105.86
_cell_angle_gamma 90.00
_symmetry_space_group_name_H-M 'P 1'
_symmetry_Int_Tables_number 1
_symmetry_space_group_name_Hall 'P 1'
loop_
_atom_site_label
_atom_site_fract_x
_atom_site_fract_y
_atom_site_fract_z
Li1 0.500 0.000 0.000
Er1 0.407 0.533 0.813
Er2 0.663 0.961 0.325
Er3 0.803 0.701 0.607
Er4 0.974 0.237 0.948
Er5 0.197 0.299 0.393
Er6 0.337 0.039 0.675
Er7 0.593 0.467 0.187
Er8 0.026 0.763 0.052
Ga1 0.807 0.269 0.614
Ga2 0.193 0.731 0.386
```

Summary:
**DFT total energy**: -46.310 eV/cell
**Formation energy**: -167 meV/atom


## Sm5HgPb4 (PBE)

Data for an optimized crystal structure of Sm5HgPb4.

```
data_Sm5HgPb4
_chemical_formula_sum 'Sm5 Hg1 Pb4'
_cell_length_a 6.428
_cell_length_b 7.777
_cell_length_c 7.777
_cell_angle_alpha 80.17
_cell_angle_beta 65.59
_cell_angle_gamma 65.59
_symmetry_space_group_name_H-M 'P 1'
_symmetry_Int_Tables_number 1
_symmetry_space_group_name_Hall 'P 1'
loop_
_atom_site_label
_atom_site_fract_x
_atom_site_fract_y
_atom_site_fract_z
Sm1 0.877 0.406 0.789
Sm2 0.284 0.789 0.594
Sm3 0.666 0.211 0.406
Sm4 0.072 0.594 0.211
Sm5 0.609 0.000 0.000
Hg1 0.115 0.000 0.000
Pb1 0.369 0.393 0.813
Pb2 0.762 0.813 0.607
Pb3 0.182 0.187 0.393
Pb4 0.575 0.607 0.187
```

Summary:
**DFT total energy**: -42.571 eV/cell
**Formation energy**: -384 meV/atom


## LaGa2PdRh (PBE)

Data for an optimized crystal structure of LaGa2PdRh.

```
data_LaGa2PdRh
_chemical_formula_sum 'La1 Ga2 Pd1 Rh1'
_cell_length_a 4.262
_cell_length_b 4.262
_cell_length_c 6.132
_cell_angle_alpha 110.34
_cell_angle_beta 110.34
_cell_angle_gamma 90.00
_symmetry_space_group_name_H-M 'P 1'
_symmetry_Int_Tables_number 1
_symmetry_space_group_name_Hall 'P 1'
loop_
_atom_site_label
_atom_site_fract_x
_atom_site_fract_y
_atom_site_fract_z
La1 0.000 0.000 0.000
Ga1 0.625 0.625 0.249
Ga2 0.375 0.375 0.751
Pd1 0.250 0.750 0.500
Rh1 0.750 0.250 0.500
```

Summary:
**DFT total energy**: -27.549 eV/cell
**Formation energy**: -805 meV/atom


## Cd2CuPt2 (PBE)

Data for an optimized crystal structure of Cd2CuPt2.

```
data_Cd2CuPt2
_chemical_formula_sum 'Cd4 Cu2 Pt4'
_cell_length_a 4.430
_cell_length_b 4.430
_cell_length_c 10.323
_cell_angle_alpha 90.00
_cell_angle_beta 90.00
_cell_angle_gamma 120.00
_symmetry_space_group_name_H-M 'P 1'
_symmetry_Int_Tables_number 1
_symmetry_space_group_name_Hall 'P 1'
loop_
_atom_site_label
_atom_site_fract_x
_atom_site_fract_y
_atom_site_fract_z
Cd1 0.333 0.667 0.604
Cd2 0.667 0.333 0.104
Cd3 0.667 0.333 0.396
Cd4 0.333 0.667 0.896
Cu1 0.000 0.000 0.250
Cu2 0.000 0.000 0.750
Pt1 0.667 0.333 0.750
Pt2 0.000 0.000 0.000
Pt3 0.000 0.000 0.500
Pt4 0.333 0.667 0.250
```

Summary:
**DFT total energy**: -37.150 eV/cell
**Formation energy**: -113 meV/atom


## CrOs2Rh (PBE)

Data for an optimized crystal structure of CrOs2Rh.

```
data_CrOs2Rh
_chemical_formula_sum 'Cr1 Os2 Rh1'
_cell_length_a 4.232
_cell_length_b 4.232
_cell_length_c 4.228
_cell_angle_alpha 99.31
_cell_angle_beta 114.78
_cell_angle_gamma 114.82
_symmetry_space_group_name_H-M 'P 1'
_symmetry_Int_Tables_number 1
_symmetry_space_group_name_Hall 'P 1'
loop_
_atom_site_label
_atom_site_fract_x
_atom_site_fract_y
_atom_site_fract_z
Cr1 0.124 0.313 0.437
Os1 0.125 0.812 0.937
Os2 0.626 0.063 0.689
Rh1 0.625 0.563 0.187
```

Summary:
**DFT total energy**: -37.903 eV/cell
**Formation energy**: 383 meV/atom


## Pr3Pt (PBE)

Data for an optimized crystal structure of Pr3Pt.

```
data_Pr3Pt
_chemical_formula_sum 'Pr3 Pt1'
_cell_length_a 3.799
_cell_length_b 6.045
_cell_length_c 6.511
_cell_angle_alpha 117.66
_cell_angle_beta 106.96
_cell_angle_gamma 90.00
_symmetry_space_group_name_H-M 'P 1'
_symmetry_Int_Tables_number 1
_symmetry_space_group_name_Hall 'P 1'
loop_
_atom_site_label
_atom_site_fract_x
_atom_site_fract_y
_atom_site_fract_z
Pr1 0.303 0.675 0.606
Pr2 0.500 0.398 0.000
Pr3 0.697 0.068 0.394
Pt1 0.000 0.025 0.000
```

Summary:
**DFT total energy**: -22.349 eV/cell
**Formation energy**: -492 meV/atom


## LiNiOs (PBE)

Data for an optimized crystal structure of LiNiOs.

```
data_LiNiOs
_chemical_formula_sum 'Li1 Ni1 Os1'
_cell_length_a 4.461
_cell_length_b 4.461
_cell_length_c 4.461
_cell_angle_alpha 147.31
_cell_angle_beta 128.82
_cell_angle_gamma 62.07
_symmetry_space_group_name_H-M 'P 1'
_symmetry_Int_Tables_number 1
_symmetry_space_group_name_Hall 'P 1'
loop_
_atom_site_label
_atom_site_fract_x
_atom_site_fract_y
_atom_site_fract_z
Li1 0.998 0.998 0.000
Ni1 0.330 0.330 0.000
Os1 0.672 0.672 0.000
```

Summary:
**DFT total energy**: -18.114 eV/cell
**Formation energy**: 270 meV/atom